[1]
A geometry-optimized LiIn6Ag5 structure, computed with PBE-GGA.

Values from the calculation:
Volume in Å³ per atom: 21.0
Calculated density in g/cm³: 8.144
Formation energy in kJ/mol of atoms: -3.3
Uncorrected energy in eV per atom: -2.751

Lattice parameters (Å, degrees): 5.254 6.190 8.327 68.88 85.59 89.57
Space group P-1 (No. 2)
Symmetry-distinct sites (fractional):
Li (0.000, 0.000, 0.000) [1 per cell]
In (0.163, 0.413, 0.670) [2 per cell]
In (0.164, 0.915, 0.671) [2 per cell]
In (0.499, 0.750, 0.001) [2 per cell]
Ag (0.000, 0.500, 0.000) [1 per cell]
Ag (0.331, 0.330, 0.337) [2 per cell]
Ag (0.333, 0.831, 0.338) [2 per cell]

[2]
A geometry-optimized Li7InAg2 structure, computed with PBE-GGA.

Values from the calculation:
Volume in Å³ per atom: 22.9
Calculated density in g/cm³: 2.745
Formation energy in kJ/mol of atoms: 3.9
Uncorrected energy in eV per atom: -2.144

Lattice parameters (Å, degrees): 7.500 13.036 4.691 90.00 90.00 90.00
Space group Cmmm (No. 65)
Symmetry-distinct sites (fractional):
Li (0.000, 0.000, 0.000) [2 per cell]
Li (0.000, 0.275, 0.500) [4 per cell]
Li (0.175, 0.386, 0.000) [8 per cell]
In (0.000, 0.500, 0.500) [2 per cell]
Ag (0.000, 0.199, 0.000) [4 per cell]